Below is a geometry-optimized GeWO2 structure, with properties calculated at the GGA-PBEsol level.

Results
The calculation puts the formation energy without anion corrections at -1.19 eV/atom. As for the space group: R-3m.

```
4
Lattice="-2.603 -1.000 -0.079 -1.172 -0.645 -2.448 1.253 -7.126 -0.312" Properties=species:S:1:pos:R:3 pbc="T T T"
O 0.483 -5.108 -0.475
O -3.005 -3.663 -2.364
W -1.261 -4.386 -1.419
Ge 0.000 0.000 0.000
```